Material: Pm4SmY3
Method: DFT, PBE
State: optimized geometry

```
data_Pm4SmY3
_symmetry_space_group_name_H-M 'P m n 21'
_symmetry_Int_Tables_number 31
_cell_length_a 11.6035
_cell_length_b 7.3596
_cell_length_c 6.3556
_cell_angle_alpha 90.00
_cell_angle_beta 90.00
_cell_angle_gamma 90.00
loop_
_symmetry_equiv_pos_as_xyz
'x,y,z'
'-x+1/2,-y,z+1/2'
'-x,y,z'
'x+1/2,-y,z+1/2'
loop_
_atom_site_label
_atom_site_type_symbol
_atom_site_fract_x
_atom_site_fract_y
_atom_site_fract_z
Pm1 Pm 0.0000 0.1262 0.0000
Pm2 Pm 0.0000 0.8736 0.4960
Pm3 Pm 0.2486 0.8749 0.8288
Sm1 Sm 0.0000 0.3745 0.4951
Y1 Y 0.0000 0.6230 0.9948
Y2 Y 0.2502 0.3766 0.8300
```

## Properties
- Volume: 33.92 Å³/atom
- Final energy: -5.3677 eV per atom
- Total magnetization: 0.00 μB/f.u.
- Crystal system: orthorhombic

=====

Material: TlIn3Pd12
Method: DFT, PBE
State: optimized geometry

```
data_TlIn3Pd12
_symmetry_space_group_name_H-M 'P 4/m m m'
_symmetry_Int_Tables_number 123
_symmetry_space_group_name_Hall '-P 4 2'
_cell_length_a 4.0556
_cell_length_b 4.0556
_cell_length_c 16.1523
_cell_angle_alpha 90.00
_cell_angle_beta 90.00
_cell_angle_gamma 90.00
loop_
_atom_site_label
_atom_site_type_symbol
_atom_site_fract_x
_atom_site_fract_y
_atom_site_fract_z
Tl1 Tl 0.0000 0.0000 0.0000
In1 In 0.0000 0.0000 0.2515
In2 In 0.0000 0.0000 0.5000
Pd1 Pd 0.0000 0.5000 0.1284
Pd2 Pd 0.0000 0.5000 0.3760
Pd3 Pd 0.5000 0.5000 0.0000
Pd4 Pd 0.5000 0.5000 0.2523
Pd5 Pd 0.5000 0.5000 0.5000
```

## Properties
- Volume: 16.60 Å³/atom
- Final energy: -4.9245 eV per atom
- Total magnetization: 0.00 μB/f.u.
- Crystal system: tetragonal

=====

Material: CrNi2
Method: DFT, PBE
State: optimized geometry

```
data_CrNi2
_symmetry_space_group_name_H-M 'P n m a'
_symmetry_Int_Tables_number 62
_cell_length_a 5.0676
_cell_length_b 3.4323
_cell_length_c 7.6016
_cell_angle_alpha 90.00
_cell_angle_beta 90.00
_cell_angle_gamma 90.00
loop_
_symmetry_equiv_pos_as_xyz
'x,y,z'
'-x,-y,-z'
'-x+1/2,-y,z+1/2'
'x+1/2,y,-z+1/2'
'x+1/2,-y+1/2,-z+1/2'
'-x+1/2,y+1/2,z+1/2'
'-x,y+1/2,-z'
'x,-y+1/2,z'
loop_
_atom_site_label
_atom_site_type_symbol
_atom_site_fract_x
_atom_site_fract_y
_atom_site_fract_z
Cr1 Cr 0.1155 0.2500 0.0760
Ni1 Ni 0.1207 0.2500 0.4149
Ni2 Ni 0.1348 0.2500 0.7497
```

## Properties
- Volume: 11.02 Å³/atom
- Final energy: -7.0365 eV per atom
- Total magnetization: 0.00 μB/f.u.
- Crystal system: orthorhombic

=====

Material: K2Zn2Sn
Method: DFT, PBE
State: optimized geometry

```
data_K2Zn2Sn
_symmetry_space_group_name_H-M 'I 4/m m m'
_symmetry_Int_Tables_number 139
_symmetry_space_group_name_Hall '-I 4 2'
_cell_length_a 4.8971
_cell_length_b 4.8971
_cell_length_c 13.5400
_cell_angle_alpha 90.00
_cell_angle_beta 90.00
_cell_angle_gamma 90.00
loop_
_atom_site_label
_atom_site_type_symbol
_atom_site_fract_x
_atom_site_fract_y
_atom_site_fract_z
K1 K 0.0000 0.5000 0.2500
Zn1 Zn 0.0000 0.0000 0.0888
Sn1 Sn 0.0000 0.0000 0.5000
```

## Properties
- Volume: 32.47 Å³/atom
- Final energy: -1.4269 eV per atom
- Total magnetization: 0.00 μB/f.u.
- Crystal system: tetragonal

=====

Material: ZnSnS2Cl
Method: DFT, PBE
State: optimized geometry

```
data_ZnSnS2Cl
_symmetry_space_group_name_H-M 'P 4/m m m'
_symmetry_Int_Tables_number 123
_symmetry_space_group_name_Hall '-P 4 2'
_cell_length_a 5.0356
_cell_length_b 5.0356
_cell_length_c 5.1070
_cell_angle_alpha 90.00
_cell_angle_beta 90.00
_cell_angle_gamma 90.00
loop_
_atom_site_label
_atom_site_type_symbol
_atom_site_fract_x
_atom_site_fract_y
_atom_site_fract_z
Zn1 Zn 0.0000 0.0000 0.0000
Sn1 Sn 0.5000 0.5000 0.5000
S1 S 0.0000 0.5000 0.5000
Cl1 Cl 0.5000 0.5000 0.0000
```

## Properties
- Volume: 25.90 Å³/atom
- Total magnetization: 0.00 μB/f.u.
- ΔE_f (raw): 126.0 meV/atom
- Crystal system: tetragonal

=====

Material: Cd3OsO6
Method: DFT, PBE
State: optimized geometry

```
data_Cd3OsO6
_symmetry_space_group_name_H-M 'P 1 21/c 1'
_symmetry_Int_Tables_number 14
_cell_length_a 5.6141
_cell_length_b 5.6838
_cell_length_c 9.8584
_cell_angle_alpha 90.00
_cell_angle_beta 124.14
_cell_angle_gamma 90.00
loop_
_symmetry_equiv_pos_as_xyz
'x,y,z'
'-x,-y,-z'
'-x,y+1/2,-z+1/2'
'x,-y+1/2,z+1/2'
loop_
_atom_site_label
_atom_site_type_symbol
_atom_site_fract_x
_atom_site_fract_y
_atom_site_fract_z
Cd1 Cd 0.0000 0.0000 0.0000
Cd2 Cd 0.2405 0.0395 0.7423
Os1 Os 0.5000 0.0000 0.5000
O1 O 0.1682 0.0761 0.2758
O2 O 0.2507 0.6630 0.0453
O3 O 0.4233 0.2132 0.0745
```

## Properties
- Volume: 13.02 Å³/atom
- Total magnetization: 2.00 μB/f.u.
- ΔE_f (raw): -980.2 meV/atom
- Crystal system: monoclinic

=====

Material: Pu5Ga3Pb3
Method: DFT, PBE
State: optimized geometry

```
data_Pu5Ga3Pb3
_symmetry_space_group_name_H-M 'P -6 2 m'
_symmetry_Int_Tables_number 189
_symmetry_space_group_name_Hall 'P -6 -2'
_cell_length_a 10.4165
_cell_length_b 10.4165
_cell_length_c 3.1373
_cell_angle_alpha 90.00
_cell_angle_beta 90.00
_cell_angle_gamma 120.00
loop_
_atom_site_label
_atom_site_type_symbol
_atom_site_fract_x
_atom_site_fract_y
_atom_site_fract_z
Pu1 Pu 0.0000 0.6694 0.0000
Pu2 Pu 0.3333 0.6667 0.0000
Ga1 Ga 0.0000 0.1455 0.0000
Pb1 Pb 0.0000 0.3885 0.5000
```

## Properties
- Volume: 26.80 Å³/atom
- Final energy: -8.1872 eV per atom
- Total magnetization: 6.28 μB/f.u.
- Crystal system: hexagonal

=====

Material: LiAg
Method: DFT, PBE
State: optimized geometry

```
data_LiAg
_symmetry_space_group_name_H-M 'P 42/m n m'
_symmetry_Int_Tables_number 136
_symmetry_space_group_name_Hall '-P 4n 2n'
_cell_length_a 5.2211
_cell_length_b 5.2211
_cell_length_c 5.2402
_cell_angle_alpha 90.00
_cell_angle_beta 90.00
_cell_angle_gamma 90.00
loop_
_atom_site_label
_atom_site_type_symbol
_atom_site_fract_x
_atom_site_fract_y
_atom_site_fract_z
Li1 Li 0.1953 0.1953 0.0000
Ag1 Ag 0.1917 0.1917 0.5000
```

## Properties
- Volume: 17.86 Å³/atom
- Final energy: -2.3841 eV per atom
- Total magnetization: 0.00 μB/f.u.
- Crystal system: tetragonal

=====

Material: CaTh2Se5
Method: DFT, PBE
State: optimized geometry

```
data_CaTh2Se5
_symmetry_space_group_name_H-M 'C 1 2/c 1'
_symmetry_Int_Tables_number 15
_cell_length_a 15.8959
_cell_length_b 7.0866
_cell_length_c 7.8133
_cell_angle_alpha 90.00
_cell_angle_beta 93.92
_cell_angle_gamma 90.00
loop_
_symmetry_equiv_pos_as_xyz
'x,y,z'
'-x,-y,-z'
'-x,y,-z+1/2'
'x,-y,z+1/2'
'x+1/2,y+1/2,z'
'-x+1/2,-y+1/2,-z'
'-x+1/2,y+1/2,-z+1/2'
'x+1/2,-y+1/2,z+1/2'
loop_
_atom_site_label
_atom_site_type_symbol
_atom_site_fract_x
_atom_site_fract_y
_atom_site_fract_z
Ca1 Ca 0.2500 0.2500 0.0000
Th1 Th 0.0995 0.2350 0.5712
Se1 Se 0.0000 0.0632 0.2500
Se2 Se 0.0822 0.3883 0.9151
Se3 Se 0.2190 0.0946 0.3266
```

## Properties
- Volume: 27.44 Å³/atom
- Total magnetization: 0.00 μB/f.u.
- ΔE_f (raw): -1757.0 meV/atom
- Crystal system: monoclinic

=====

Material: TbSm6Dy12
Method: DFT, PBE
State: optimized geometry

```
data_TbSm6Dy12
_symmetry_space_group_name_H-M 'R -3 m'
_symmetry_Int_Tables_number 166
_symmetry_space_group_name_Hall '-R 3 2"'
_cell_length_a 13.2282
_cell_length_b 13.2282
_cell_length_c 12.6042
_cell_angle_alpha 90.00
_cell_angle_beta 90.00
_cell_angle_gamma 120.00
loop_
_atom_site_label
_atom_site_type_symbol
_atom_site_fract_x
_atom_site_fract_y
_atom_site_fract_z
Tb1 Tb 0.0000 0.0000 0.0000
Sm1 Sm 0.0398 0.5199 0.6172
Dy1 Dy 0.0000 0.2580 0.5000
Dy2 Dy 0.0910 0.1820 0.2646
```

## Properties
- Volume: 33.51 Å³/atom
- Final energy: -4.4278 eV per atom
- Total magnetization: 0.00 μB/f.u.
- Crystal system: trigonal

=====

Material: Ca2TaIr
Method: DFT, PBE
State: optimized geometry

```
data_Ca2TaIr
_symmetry_space_group_name_H-M 'F m -3 m'
_symmetry_Int_Tables_number 225
_symmetry_space_group_name_Hall '-F 4 2 3'
_cell_length_a 7.1060
_cell_length_b 7.1060
_cell_length_c 7.1060
_cell_angle_alpha 90.00
_cell_angle_beta 90.00
_cell_angle_gamma 90.00
loop_
_atom_site_label
_atom_site_type_symbol
_atom_site_fract_x
_atom_site_fract_y
_atom_site_fract_z
Ca1 Ca 0.2500 0.2500 0.2500
Ta1 Ta 0.0000 0.0000 0.0000
Ir1 Ir 0.0000 0.0000 0.5000
```

## Properties
- Volume: 22.43 Å³/atom
- Final energy: -5.4373 eV per atom
- Total magnetization: 3.46 μB/f.u.
- Crystal system: cubic

=====

Material: NaEu2Au
Method: DFT, PBE
State: optimized geometry

```
data_NaEu2Au
_symmetry_space_group_name_H-M 'R -3 m'
_symmetry_Int_Tables_number 166
_symmetry_space_group_name_Hall '-R 3 2"'
_cell_length_a 4.3549
_cell_length_b 4.3549
_cell_length_c 28.7699
_cell_angle_alpha 90.00
_cell_angle_beta 90.00
_cell_angle_gamma 120.00
loop_
_atom_site_label
_atom_site_type_symbol
_atom_site_fract_x
_atom_site_fract_y
_atom_site_fract_z
Na1 Na 0.0000 0.0000 0.0000
Eu1 Eu 0.0000 0.0000 0.2261
Au1 Au 0.0000 0.0000 0.5000
```

## Properties
- Volume: 39.38 Å³/atom
- Final energy: -6.6211 eV per atom
- Total magnetization: 14.48 μB/f.u.
- Crystal system: trigonal